No. 1
RhSeS2Cl, optimized geometry, DFT PBE; E above lowest polymorph = 0.00 eV per formula unit; space group = P4/mmm (123); formation energy from raw total energies = 2.2 eV/f.u.
1.0
4.651 0.000 0.000
0.000 4.651 0.000
0.000 0.000 4.676
Rh Se S Cl
1 1 2 1
Cartesian
0.000 0.000 0.000
2.326 2.326 2.338
0.000 2.326 0.000
2.326 0.000 0.000
0.000 0.000 2.338

***

No. 2
CoPBr2, optimized geometry, DFT PBE; E above lowest polymorph = 4.35 eV per formula unit; space group = I-4m2 (119); formation energy from raw total energies = 3.0 eV/f.u.
1.0
-1.843 1.843 7.078
1.843 -1.843 7.078
1.843 1.843 -7.078
Co P Br
1 1 2
Cartesian
0.000 0.000 0.000
1.843 0.000 3.539
0.000 0.000 7.078
0.000 1.843 3.539

***

No. 3
CaGa, optimized geometry, DFT PBE; energy of formation from the pure elements = -0.41 eV/atom; space group = Cmcm (63)
1.0
4.642 -3.768 0.000
4.642 3.768 0.000
0.000 0.000 5.658
Ca Ga
4 4
Cartesian
1.692 1.164 1.414
1.692 -1.164 4.243
7.593 1.164 1.414
7.593 -1.164 4.243
4.642 2.325 1.414
4.642 0.000 0.000
4.642 0.000 2.829
4.642 -2.325 4.243

***

No. 4
Bi19S27I3, optimized geometry, DFT PBE; space group = R3 (146); formation energy from raw total energies = -17.1 eV/f.u.
1.0
13.676 7.896 4.054
-13.676 7.896 4.054
0.000 -15.792 4.054
Bi S I
38 54 6
Cartesian
-9.746 -6.687 6.056
-6.634 -10.040 6.023
-0.669 -4.312 2.022
-10.279 5.166 3.984
0.000 0.000 0.966
-3.400 2.735 2.022
0.666 -11.485 3.984
-7.046 2.148 4.041
-3.927 -1.217 4.002
-5.331 -4.982 5.991
1.663 -7.176 4.041
-1.639 -8.703 6.115
-8.352 -2.932 8.001
4.069 1.577 2.022
-0.694 -4.275 6.006
-6.718 5.771 6.115
3.017 -2.792 4.002
-3.355 2.738 6.006
0.909 4.009 4.002
-6.981 2.130 8.126
-4.047 -1.541 8.109
-5.378 10.765 6.023
1.646 -7.111 8.126
0.000 0.000 7.059
-1.649 7.108 5.991
5.383 5.028 4.041
4.049 1.537 6.006
6.980 -2.126 5.991
-0.918 11.784 6.056
3.358 -2.735 8.109
10.665 -5.097 6.056
6.716 -5.767 8.001
0.689 4.276 8.109
9.613 6.319 3.984
8.357 2.932 6.115
1.636 8.699 8.001
12.012 -0.725 6.023
5.335 4.981 8.126
-12.763 -1.267 6.048
-1.842 -10.583 4.004
-2.221 -1.597 1.972
-10.043 -3.824 6.032
-3.624 -4.073 4.028
-11.446 -6.295 8.088
-11.837 2.678 6.056
-0.915 -6.638 4.015
-8.244 6.887 4.004
-0.273 2.722 1.972
-6.245 -2.518 6.058
-5.292 4.111 4.015
2.493 -1.125 1.972
-2.476 1.199 4.021
-8.402 3.763 6.028
-7.449 -5.392 8.088
0.200 -2.743 4.021
-5.438 1.042 6.046
0.942 -9.157 6.028
-1.715 5.175 4.028
-2.225 -1.599 6.063
3.599 -11.590 6.056
-3.613 -4.190 8.071
2.276 1.545 4.021
1.817 -5.231 6.046
-0.946 -6.678 8.057
5.339 -1.102 4.028
-0.272 2.727 6.063
7.479 -10.420 6.048
-5.310 4.158 8.057
2.497 -1.127 6.063
-2.502 1.130 8.050
5.304 -4.149 6.058
6.206 2.527 4.015
0.272 -2.731 8.050
8.333 -6.785 6.032
0.941 6.668 6.058
-1.823 5.224 8.071
-2.269 -1.540 10.092
3.621 4.189 6.046
10.086 3.696 4.004
2.229 1.602 8.050
1.710 10.609 6.032
-0.945 9.147 8.088
5.435 -1.034 8.071
-0.199 2.735 10.092
7.459 5.395 6.028
8.394 -3.755 8.088
2.469 -1.195 10.092
11.174 -6.765 8.088
5.285 11.687 6.048
6.256 2.520 8.057
0.272 13.060 8.088
8.238 8.912 6.056
-9.118 -0.010 6.037
-4.552 -7.903 8.076
4.567 -7.892 6.037
-4.568 7.893 8.076
4.551 7.902 6.037
9.120 0.009 8.076

***

No. 5
Ba4Hg3Bi8, optimized geometry, DFT PBE; energy of formation from the pure elements = -0.44 eV/atom; space group = P-4m2 (115)
1.0
4.984 0.000 0.000
0.000 4.984 0.000
0.000 0.000 21.175
Ba Hg Bi
4 3 8
Cartesian
0.000 2.492 2.433
0.000 2.492 13.167
2.492 0.000 8.007
2.492 0.000 18.742
0.000 0.000 0.000
0.000 0.000 10.587
2.492 2.492 10.587
0.000 0.000 5.248
0.000 0.000 15.926
0.000 2.492 8.445
0.000 2.492 19.368
2.492 0.000 1.807
2.492 0.000 12.730
2.492 2.492 5.252
2.492 2.492 15.922

***

No. 6
BaZr2Bi2, optimized geometry, DFT PBE; E above lowest polymorph = 1.33 eV per formula unit; energy of formation from the pure elements = -0.19 eV/atom; space group = P4/mbm (127)
1.0
8.800 0.000 0.000
0.000 8.800 0.000
0.000 0.000 3.785
Ba Zr Bi
2 4 4
Cartesian
0.000 0.000 0.000
4.400 4.400 0.000
1.208 3.192 1.893
3.192 7.592 1.893
5.608 1.208 1.893
7.592 5.608 1.893
1.270 5.670 0.000
3.130 1.270 0.000
5.670 7.530 0.000
7.530 3.130 0.000

***

No. 7
Sm2TeIr, optimized geometry, DFT PBE; E above lowest polymorph = 0.06 eV per formula unit; space group = R3m (160); formation energy from raw total energies = -4.0 eV/f.u.
1.0
2.105 1.215 7.426
-2.105 1.215 7.426
0.000 -2.431 7.426
Sm Te Ir
2 1 1
Cartesian
0.000 0.000 0.000
0.000 0.000 4.340
0.000 0.000 17.010
0.000 0.000 13.331

***

No. 8
HoMgInPt, optimized geometry, DFT PBE; energy of formation from the pure elements = -0.67 eV/atom; space group = F-43m (216)
1.0
0.000 3.473 3.473
3.473 0.000 3.473
3.473 3.473 0.000
Ho Mg In Pt
1 1 1 1
Cartesian
0.000 0.000 0.000
3.473 3.473 3.473
1.736 1.736 1.736
5.209 5.209 5.209

***

No. 9
LaTi2Au, optimized geometry, DFT PBE; E above lowest polymorph = 0.00 eV per formula unit; energy of formation from the pure elements = 0.03 eV/atom; space group = Fm-3m (225)
1.0
0.000 3.383 3.383
3.383 0.000 3.383
3.383 3.383 0.000
La Ti Au
1 2 1
Cartesian
0.000 0.000 0.000
1.691 1.691 1.691
5.074 5.074 5.074
3.383 3.383 3.383

***

No. 10
ScSiMo, optimized geometry, DFT PBE; space group = Amm2 (38); formation energy from raw total energies = -1.5 eV/f.u.
1.0
3.580 0.000 0.000
0.000 6.052 3.490
0.000 -6.052 3.490
Sc Si Mo
3 3 3
Cartesian
0.000 0.000 0.000
0.000 -2.400 2.832
0.000 2.400 2.832
0.000 0.000 4.212
1.790 -4.034 4.215
1.790 4.034 4.215
1.790 0.000 2.399
1.790 -1.573 5.119
1.790 1.573 5.119

***

No. 11
Ti2TcHPd, optimized geometry, DFT PBE; E above lowest polymorph = 0.00 eV per formula unit; space group = P4/mmm (123)
1.0
4.230 0.000 0.000
0.000 4.230 0.000
0.000 0.000 3.579
Ti Tc H Pd
2 1 1 1
Cartesian
0.000 2.115 0.000
2.115 0.000 0.000
0.000 0.000 1.790
0.000 0.000 0.000
2.115 2.115 1.790

***

No. 12
Ba8BiPt2Rh, optimized geometry, DFT PBE; energy of formation from the pure elements = -0.49 eV/atom; space group = P2/m (10)
1.0
7.605 0.000 0.000
0.000 9.808 0.000
-0.192 0.000 7.664
Ba Bi Pt Rh
8 1 2 1
Cartesian
1.502 0.000 2.611
1.646 4.904 2.450
1.939 2.725 6.288
1.939 7.083 6.288
5.475 2.725 1.376
5.475 7.083 1.376
5.767 4.904 5.214
5.911 0.000 5.054
3.803 0.000 0.000
-0.096 2.490 3.832
-0.096 7.318 3.832
3.803 4.904 0.000